Computed, not measured: PaAlSi2 after structural relaxation at the PBE-GGA level of DFT.

## Properties
Space-group type: No. 166

a = 5.251 Å, b = 5.251 Å, c = 5.251 Å
α = 48.16°, β = 48.16°, γ = 48.16°
Positions (direct):
Pa (0.000, 0.000, 0.000)
Al (0.500, 0.500, 0.500)
Si (0.219, 0.219, 0.219)
Si (0.781, 0.781, 0.781)

---

Computed, not measured: PaAlSi2 after structural relaxation at the PBE-GGA level of DFT.

## Properties
Space-group type: No. 123

a = 4.268 Å, b = 4.268 Å, c = 3.983 Å
α = 90.00°, β = 90.00°, γ = 90.00°
Positions (direct):
Pa (0.000, 0.000, 0.000)
Al (0.500, 0.500, 0.000)
Si (0.000, 0.500, 0.500)
Si (0.500, 0.000, 0.500)

---

Computed, not measured: PaAl2Si2 after structural relaxation at the PBE-GGA level of DFT.

## Properties
Space-group type: No. 12

a = 4.356 Å, b = 4.356 Å, c = 6.026 Å
α = 111.01°, β = 111.01°, γ = 60.11°
Positions (direct):
Pa (0.000, 0.000, 0.000)
Al (0.204, 0.204, 0.610)
Al (0.796, 0.796, 0.390)
Si (0.425, 0.425, 0.279)
Si (0.575, 0.575, 0.721)

---

Computed, not measured: PaAl3Si after structural relaxation at the PBE-GGA level of DFT.

## Properties
Space-group type: No. 63

a = 6.325 Å, b = 6.325 Å, c = 5.689 Å
α = 90.00°, β = 90.00°, γ = 125.91°
Positions (direct):
Pa (0.246, 0.754, 0.750)
Pa (0.754, 0.246, 0.250)
Al (0.241, 0.241, 0.000)
Al (0.241, 0.241, 0.500)
Al (0.360, 0.640, 0.250)
Al (0.640, 0.360, 0.750)
Al (0.759, 0.759, 0.000)
Al (0.759, 0.759, 0.500)
Si (0.150, 0.850, 0.250)
Si (0.850, 0.150, 0.750)

---

Computed, not measured: Pa2Al3Si after structural relaxation at the PBE-GGA level of DFT.

## Properties
Space-group type: No. 12

a = 5.432 Å, b = 5.432 Å, c = 5.455 Å
α = 120.09°, β = 120.09°, γ = 59.85°
Positions (direct):
Pa (0.125, 0.125, 0.367)
Pa (0.875, 0.875, 0.633)
Al (0.000, 0.500, 0.000)
Al (0.500, 0.000, 0.000)
Al (0.500, 0.500, 0.000)
Si (0.500, 0.500, 0.500)

---

Computed, not measured: Pa2Al3Si4 after structural relaxation at the PBE-GGA level of DFT.

## Properties
Space-group type: No. 64

a = 7.890 Å, b = 7.890 Å, c = 7.674 Å
α = 90.00°, β = 90.00°, γ = 138.00°
Positions (direct):
Pa (0.112, 0.888, 0.917)
Pa (0.388, 0.612, 0.417)
Pa (0.612, 0.388, 0.583)
Pa (0.888, 0.112, 0.083)
Al (0.000, 0.000, 0.500)
Al (0.036, 0.464, 0.750)
Al (0.464, 0.036, 0.250)
Al (0.500, 0.500, 0.000)
Al (0.536, 0.964, 0.750)
Al (0.964, 0.536, 0.250)
Si (0.182, 0.818, 0.550)
Si (0.206, 0.294, 0.750)
Si (0.294, 0.206, 0.250)
Si (0.318, 0.682, 0.050)
Si (0.682, 0.318, 0.950)
Si (0.706, 0.794, 0.750)
Si (0.794, 0.706, 0.250)
Si (0.818, 0.182, 0.450)

---

no.,formation energy (no corrections) (meV per atom)
1,-276
2,-414
3,-256
4,-200
5,-346
6,-318